SrCdHg2 | PBE | relaxed

Computed properties:
E_tot = -1.119 eV/atom
SG = No. 123

Unit cell a=3.875 b=3.875 c=7.294 alpha=90.00 beta=90.00 gamma=90.00
Fractional coordinates of all 4 atoms:
Sr 0.000 0.000 0.000
Cd 0.000 0.000 0.500
Hg 0.500 0.500 0.276
Hg 0.500 0.500 0.724

***

ReHg2 | PBE | relaxed

Computed properties:
E_tot = -2.810 eV/atom
Offset from the most stable computed form = 391 meV/atom
E_form = 1.53 eV per atom
SG = No. 227

Unit cell a=5.470 b=5.470 c=5.470 alpha=60.00 beta=60.00 gamma=60.00
Fractional coordinates of all 6 atoms:
Re 0.125 0.125 0.125
Re 0.875 0.875 0.875
Hg 0.000 0.500 0.500
Hg 0.500 0.000 0.500
Hg 0.500 0.500 0.000
Hg 0.500 0.500 0.500

***

Rb2FeBr6 | PBE | relaxed

Computed properties:
E_tot = -3.196 eV/atom
SG = No. 12

Unit cell a=7.257 b=7.257 c=6.323 alpha=90.11 beta=90.11 gamma=60.02
Fractional coordinates of all 9 atoms:
Rb 0.166 0.166 0.261
Rb 0.834 0.834 0.739
Fe 0.500 0.500 0.500
Br 0.175 0.662 0.272
Br 0.338 0.338 0.728
Br 0.338 0.825 0.728
Br 0.662 0.175 0.272
Br 0.662 0.662 0.272
Br 0.825 0.338 0.728

***

ZrTlSe2 | PBE | relaxed

Computed properties:
E_tot = -5.512 eV/atom
SG = No. 164

Unit cell a=3.774 b=3.774 c=8.461 alpha=90.00 beta=90.00 gamma=120.00
Fractional coordinates of all 4 atoms:
Zr 0.000 0.000 0.000
Tl 0.000 0.000 0.500
Se 0.333 0.667 0.806
Se 0.667 0.333 0.194

***

ThSiS | PBE | relaxed

Computed properties:
E_tot = -6.996 eV/atom
SG = No. 139

Unit cell a=9.016 b=9.016 c=9.016 alpha=155.00 beta=155.00 gamma=35.64
Fractional coordinates of all 6 atoms:
Th 0.138 0.138 0.000
Th 0.862 0.862 0.000
Si 0.000 0.500 0.500
Si 0.500 0.000 0.500
S 0.312 0.312 0.000
S 0.688 0.688 0.000

***

PmAsPd | PBE | relaxed

Computed properties:
E_tot = -6.033 eV/atom
Offset from the most stable computed form = 0 meV/atom
SG = No. 187

Unit cell a=4.331 b=4.331 c=3.962 alpha=90.00 beta=90.00 gamma=120.00
Fractional coordinates of all 3 atoms:
Pm 0.000 0.000 0.000
As 0.333 0.667 0.500
Pd 0.667 0.333 0.500

***

Sc2Cu2SiGe | PBE | relaxed

Computed properties:
E_tot = -5.570 eV/atom
SG = No. 6

Unit cell a=10.242 b=4.181 c=10.243 alpha=90.00 beta=109.48 gamma=90.00
Fractional coordinates of all 24 atoms:
Sc 0.000 0.000 0.000
Sc 0.121 0.500 0.375
Sc 0.246 0.000 0.748
Sc 0.375 0.500 0.127
Sc 0.498 0.000 0.501
Sc 0.623 0.500 0.873
Sc 0.748 0.000 0.250
Sc 0.873 0.500 0.624
Cu 0.128 0.500 0.129
Cu 0.244 0.000 0.495
Cu 0.373 0.500 0.875
Cu 0.499 0.000 0.255
Cu 0.626 0.500 0.624
Cu 0.749 0.000 0.996
Cu 0.872 0.500 0.378
Cu 0.994 0.000 0.746
Si 0.249 0.000 0.251
Si 0.623 0.500 0.376
Si 0.748 0.000 0.749
Si 0.997 0.000 0.499
Ge 0.123 0.500 0.875
Ge 0.372 0.500 0.624
Ge 0.498 0.000 0.000
Ge 0.873 0.500 0.125

***

TbY2In3AgPd2 | PBE | relaxed

Computed properties:
E_tot = -5.027 eV/atom
SG = No. 38

Unit cell a=3.818 b=7.826 c=7.826 alpha=119.97 beta=90.00 gamma=90.00
Fractional coordinates of all 9 atoms:
Tb 0.000 0.000 0.000
Y 0.000 0.410 0.820
Y 0.000 0.820 0.410
In 0.500 0.142 0.410
In 0.500 0.410 0.142
In 0.500 0.678 0.678
Ag 0.000 0.410 0.410
Pd 0.500 0.077 0.744
Pd 0.500 0.744 0.077